Compound: KMn2Cr
Source: Alexandria via LeMat-Bulk
Functional: GGA-PBE
Structure: optimized geometry

extended XYZ file:
```
4
Lattice="3.583 -3.628 0.000 3.583 3.628 0.000 0.000 0.000 3.051" Properties=species:S:1:pos:R:3 pbc="T T T"
K 0.000 0.000 0.000
Mn 1.792 1.814 1.526
Mn 1.792 -1.814 1.526
Cr 3.583 0.000 0.000
```

## Properties
energy relative to the lowest polymorph listed for this composition	541	meV per atom
magnetization	4.08	μB/cell
space group	No. 65